Record 1
Density functional theory data (GGA-PBEsol) for Ni2AsPb after structural relaxation.

Cell: 3.709 3.709 9.053 Å, 90.00 90.00 90.00°
Space group I-4m2 (No. 119)
Symmetry-distinct sites (fractional):
1 Ni 0.000 0.000 0.000 (multiplicity 2)
2 Ni 0.000 0.500 0.250 (multiplicity 2)
3 As 0.000 0.500 0.750 (multiplicity 2)
4 Pb 0.000 0.000 0.500 (multiplicity 2)

Values from the calculation:
E_form: 266 meV per atom
Volume: 15.6 A^3/atom



Record 2
Density functional theory data (GGA-PBEsol) for LaZr2Br after structural relaxation.

Cell: 10.536 3.263 6.117 Å, 90.00 103.04 90.00°
Space group Cm (No. 8)
Symmetry-distinct sites (fractional):
1 La 0.000 0.000 0.000 (multiplicity 2)
2 Zr 0.199 0.000 0.589 (multiplicity 2)
3 Zr 0.459 0.000 0.516 (multiplicity 2)
4 Br 0.263 0.500 0.225 (multiplicity 2)

Values from the calculation:
Volume: 25.6 A^3/atom
Energy relative to the elements, uncorrected: -11.61 kJ per mole of atoms



Record 3
Density functional theory data (GGA-PBEsol) for Ba2TlBr after structural relaxation.

Cell: 4.374 5.257 6.897 Å, 90.00 90.00 90.00°
Space group Pmmm (No. 47)
Symmetry-distinct sites (fractional):
1 Ba 0.000 0.000 0.000 (multiplicity 1)
2 Ba 0.500 0.500 0.500 (multiplicity 1)
3 Tl 0.000 0.000 0.500 (multiplicity 1)
4 Br 0.500 0.500 0.000 (multiplicity 1)

Values from the calculation:
Volume: 39.7 A^3/atom
E above lowest polymorph: 0.12 eV/f.u.
Energy relative to the elements, uncorrected: -94.14 kJ per mole of atoms



> Which of these has the highest volume?

Ba2TlBr



> Which formula does entry 2 have?

LaZr2Br



> What is the volume in the first record?

15.6 A^3/atom